First-principles (GGA-PBE) data for Ba4H2Ir after structural relaxation, as listed in the Alexandria database.

Output
The density of states at the Fermi level comes out at 5.39 states/eV/f.u. The value obtained for the electronic total energy is -49.9 eV/cell. Its crystal system is monoclinic. Its distance to the lowest polymorph of the same formula is 0 meV per atom.

Lattice parameters (Å, degrees): 15.2275 4.5965 7.3785 90.00 102.42 90.00
Space group C2/m (No. 12)
Symmetry-distinct sites (fractional):
Ba  0.1089  0.0000  0.3643
Ba  0.1347  0.5000  0.8797
H  0.1853  0.0000  0.0536
Ir  0.0000  0.5000  0.5000

***

First-principles (GGA-PBE) data for PrNp2NbN4 after structural relaxation, as listed in the Alexandria database.

Output
The density of states at the Fermi level comes out at 11.48 states/eV/f.u. The value obtained for the electronic total energy is -326.7 eV/cell. Its crystal system is orthorhombic. As for the uncorrected formation energy: -0.9553 eV/atom.

Lattice parameters (Å, degrees): 3.4382 11.9385 11.9311 90.00 90.00 90.00
Space group Cmcm (No. 63)
Symmetry-distinct sites (fractional):
Pr  0.0000  0.1069  0.2500
Np  0.0000  0.3698  0.0409
Nb  0.0000  0.1558  0.7500
N  0.0000  0.0000  0.0000
N  0.0000  0.2643  0.6164
N  0.0000  0.4521  0.2500

***

First-principles (GGA-PBE) data for Er3ReN6 after structural relaxation, as listed in the Alexandria database.

Output
The density of states at the Fermi level comes out at 6.46 states/eV/f.u. The value obtained for the electronic total energy is -339.1 eV/cell. Its crystal system is orthorhombic. As for the uncorrected formation energy: -0.8677 eV/atom.

Lattice parameters (Å, degrees): 9.3196 11.7359 5.2530 90.00 90.00 90.00
Space group Cmc2_1 (No. 36)
Symmetry-distinct sites (fractional):
Er  0.0000  0.1034  0.0000
Er  0.1914  0.3941  0.9673
Re  0.0000  0.3026  0.4221
N  0.0000  0.2908  0.7704
N  0.0000  0.4490  0.3022
N  0.1554  0.2372  0.2699
N  0.1605  0.0102  0.7325

***

First-principles (GGA-PBE) data for Be2ZnW2 after structural relaxation, as listed in the Alexandria database.

Output
The density of states at the Fermi level comes out at 2.43 states/eV/f.u. The value obtained for the electronic total energy is -68.4 eV/cell. Its crystal system is tetragonal. For the formation energy from the elements, the calculation gives 0.44 eV per formula unit.

Lattice parameters (Å, degrees): 5.9261 5.9261 3.4281 90.00 90.00 90.00
Space group P4/mbm (No. 127)
Symmetry-distinct sites (fractional):
Be  0.1189  0.3811  0.0000
Zn  0.0000  0.0000  0.0000
W  0.1758  0.6758  0.5000

***

First-principles (GGA-PBE) data for HgAuCl2 after structural relaxation, as listed in the Alexandria database.

Output
The density of states at the Fermi level comes out at 3.17 states/eV/f.u. The value obtained for the electronic total energy is -25.5 eV/cell. Its crystal system is cubic. Its distance to the lowest polymorph of the same formula is 465 meV per atom. As for the uncorrected formation energy: 0.2224 eV/atom.

Lattice parameters (Å, degrees): 7.0069 7.0069 7.0069 90.00 90.00 90.00
Space group F-43m (No. 216)
Symmetry-distinct sites (fractional):
Hg  0.0000  0.0000  0.0000
Au  0.2500  0.2500  0.2500
Cl  0.0000  0.0000  0.5000
Cl  0.2500  0.2500  0.7500

***

First-principles (GGA-PBE) data for MnGeCSe after structural relaxation, as listed in the Alexandria database.

Output
The density of states at the Fermi level comes out at 1.38 states/eV/f.u. The value obtained for the electronic total energy is -50.2 eV/cell. Its crystal system is monoclinic. Its distance to the lowest polymorph of the same formula is 46 meV per atom. As for the uncorrected formation energy: 0.3551 eV/atom.

Lattice parameters (Å, degrees): 5.5389 3.2253 7.8356 90.00 104.46 90.00
Space group Cm (No. 8)
Symmetry-distinct sites (fractional):
Mn  0.0000  0.0000  0.0000
Ge  0.2547  0.5000  0.2541
C  0.3549  0.0000  0.0567
Se  0.0834  0.5000  0.7651

***

First-principles (GGA-PBE) data for CuIrW2 after structural relaxation, as listed in the Alexandria database.

Output
The density of states at the Fermi level comes out at 1.98 states/eV/f.u. The value obtained for the electronic total energy is -114.6 eV/cell. Its crystal system is trigonal. Its distance to the lowest polymorph of the same formula is 135 meV per atom. For the formation energy from the elements, the calculation gives 0.66 eV per formula unit.

Lattice parameters (Å, degrees): 2.7781 2.7781 26.9692 90.00 90.00 120.00
Space group R-3m (No. 166, hexagonal axes)
Symmetry-distinct sites (fractional):
Cu  0.0000  0.0000  0.0000
Ir  0.0000  0.0000  0.5000
W  0.0000  0.0000  0.2500

***

First-principles (GGA-PBE) data for CsHfS3 after structural relaxation, as listed in the Alexandria database.

Output
The density of states at the Fermi level comes out at 0.00 states/eV/f.u. The value obtained for the electronic total energy is -59.9 eV/cell. Its crystal system is triclinic. Its distance to the lowest polymorph of the same formula is 44 meV per atom. As for the uncorrected formation energy: -1.3529 eV/atom.

Lattice parameters (Å, degrees): 6.8632 6.8647 8.4341 104.61 91.22 116.02
Space group P1 (No. 1)
Symmetry-distinct sites (fractional):
Cs  0.0000  0.0000  0.0000
Cs  0.3467  0.7399  0.3201
Hf  0.1219  0.2292  0.5863
Hf  0.7189  0.4352  0.5740
S  0.3718  0.2757  0.3724
S  0.4247  0.1726  0.7439
S  0.4883  0.5114  0.8045
S  0.8609  0.2284  0.3697
S  0.8839  0.8208  0.5510
S  0.9863  0.4503  0.7914

***

First-principles (GGA-PBE) data for BaIn2Cl after structural relaxation, as listed in the Alexandria database.

Output
The density of states at the Fermi level comes out at 5.56 states/eV/f.u. The value obtained for the electronic total energy is -41.7 eV/cell. Its crystal system is cubic. Its distance to the lowest polymorph of the same formula is 560 meV per atom. As for the uncorrected formation energy: -0.2963 eV/atom.

Lattice parameters (Å, degrees): 8.1358 8.1358 8.1358 90.00 90.00 90.00
Space group Fm-3m (No. 225)
Symmetry-distinct sites (fractional):
Ba  0.0000  0.0000  0.0000
In  0.2500  0.2500  0.2500
Cl  0.0000  0.0000  0.5000

***

First-principles (GGA-PBE) data for HoFe3Ge2 after structural relaxation, as listed in the Alexandria database.

Output
The density of states at the Fermi level comes out at 4.05 states/eV/f.u. The value obtained for the electronic total energy is -41.3 eV/cell. Its crystal system is hexagonal. For the formation energy from the elements, the calculation gives -2.06 eV per formula unit.

Lattice parameters (Å, degrees): 5.1962 5.1962 3.8476 90.00 90.00 120.00
Space group P6/mmm (No. 191)
Symmetry-distinct sites (fractional):
Ho  0.0000  0.0000  0.0000
Fe  0.0000  0.5000  0.5000
Ge  0.3333  0.6667  0.0000

***

First-principles (GGA-PBE) data for Ni2AsAu2 after structural relaxation, as listed in the Alexandria database.

Output
The density of states at the Fermi level comes out at 4.87 states/eV/f.u. The value obtained for the electronic total energy is -43.1 eV/cell. Its crystal system is tetragonal. Its distance to the lowest polymorph of the same formula is 217 meV per atom. For the formation energy from the elements, the calculation gives 1.22 eV per formula unit.

Lattice parameters (Å, degrees): 7.5401 7.5401 2.8098 90.00 90.00 90.00
Space group P4/mbm (No. 127)
Symmetry-distinct sites (fractional):
Ni  0.1213  0.3787  0.0000
As  0.0000  0.0000  0.5000
Au  0.1721  0.6721  0.5000

***

First-principles (GGA-PBE) data for Sr2Li2Mg after structural relaxation, as listed in the Alexandria database.

Output
The density of states at the Fermi level comes out at 4.19 states/eV/f.u. The value obtained for the electronic total energy is -17.3 eV/cell. Its crystal system is tetragonal. Its distance to the lowest polymorph of the same formula is 44 meV per atom. For the formation energy from the elements, the calculation gives 0.12 eV per formula unit.

Lattice parameters (Å, degrees): 8.1652 8.1652 5.1742 90.00 90.00 90.00
Space group P4/mbm (No. 127)
Symmetry-distinct sites (fractional):
Sr  0.1826  0.3174  0.0000
Li  0.1242  0.6242  0.5000
Mg  0.0000  0.0000  0.5000